one) The following is a PBE calculation of a relaxed structure of InSbPb2, from the Alexandria database.

Output
The density of states at the Fermi level comes out at 0.44 states/eV per atom.

```
InSbPb2
1.0
4.441 0.000 0.000
-2.220 3.846 0.000
0.000 0.000 23.115
In Sb Pb
3 3 6
Direct
0.000 0.000 0.000 In
0.333 0.667 0.667 In
0.667 0.333 0.333 In
0.000 0.000 0.833 Sb
0.333 0.667 0.500 Sb
0.667 0.333 0.166 Sb
0.000 0.000 0.247 Pb
0.000 0.000 0.420 Pb
0.333 0.667 0.087 Pb
0.333 0.667 0.913 Pb
0.667 0.333 0.580 Pb
0.667 0.333 0.754 Pb
```

---

two) The following is a PBE calculation of a relaxed structure of InSbPb2, from the Alexandria database.

Output
The density of states at the Fermi level comes out at 0.46 states/eV per atom.

```
InSbPb2
1.0
3.379 0.000 0.000
0.000 5.387 0.000
-1.563 0.000 6.634
In Sb Pb
1 1 2
Direct
0.000 0.000 0.000 In
0.421 0.500 0.819 Sb
0.255 0.000 0.517 Pb
0.648 0.500 0.294 Pb
```

---

three) The following is a PBE calculation of a relaxed structure of InSbPb2, from the Alexandria database.

Output
The density of states at the Fermi level comes out at 0.13 states/eV per atom.

```
InSbPb2
1.0
6.886 0.000 0.000
0.000 6.886 0.000
0.000 0.000 13.702
In Sb Pb
4 4 8
Direct
0.000 0.000 0.000 In
0.000 0.500 0.250 In
0.500 0.000 0.750 In
0.500 0.500 0.500 In
0.000 0.000 0.500 Sb
0.000 0.500 0.750 Sb
0.500 0.000 0.250 Sb
0.500 0.500 0.000 Sb
0.245 0.250 0.125 Pb
0.250 0.745 0.375 Pb
0.250 0.755 0.875 Pb
0.255 0.250 0.625 Pb
0.745 0.750 0.625 Pb
0.750 0.245 0.875 Pb
0.750 0.255 0.375 Pb
0.755 0.750 0.125 Pb
```

---

two) comes first in stability; the runner-up is 62 meV/atom higher.

---

one) The following is a PBE calculation of a relaxed structure of InSbPb2, from the Alexandria database.

Output
The density of states at the Fermi level comes out at 0.46 states/eV per atom.

```
InSbPb2
1.0
3.371 0.000 0.000
0.000 5.171 0.000
0.000 0.000 6.859
In Sb Pb
1 1 2
Direct
0.000 0.000 0.000 In
0.500 0.500 0.743 Sb
0.000 0.000 0.518 Pb
0.500 0.500 0.236 Pb
```

---

two) The following is a PBE calculation of a relaxed structure of InSbPb2, from the Alexandria database.

Output
The density of states at the Fermi level comes out at 0.38 states/eV per atom.

```
InSbPb2
1.0
5.152 0.000 0.000
0.000 5.152 0.000
0.000 0.000 4.518
In Sb Pb
1 1 2
Direct
0.000 0.000 0.000 In
0.500 0.500 0.000 Sb
0.000 0.500 0.500 Pb
0.500 0.000 0.500 Pb
```

---

three) The following is a PBE calculation of a relaxed structure of InSbPb2, from the Alexandria database.

Output
The density of states at the Fermi level comes out at 0.57 states/eV per atom.

```
InSbPb2
1.0
3.437 0.000 0.000
0.000 5.905 0.000
0.000 0.000 11.709
In Sb Pb
2 2 4
Direct
0.000 0.000 0.000 In
0.500 0.500 0.000 In
0.000 0.500 0.239 Sb
0.500 0.000 0.239 Sb
0.000 0.000 0.492 Pb
0.000 0.500 0.750 Pb
0.500 0.000 0.750 Pb
0.500 0.500 0.492 Pb
```

---

four) The following is a PBE calculation of a relaxed structure of InSbPb2, from the Alexandria database.

Output
The density of states at the Fermi level comes out at 0.54 states/eV per atom.

```
InSbPb2
1.0
5.016 0.000 0.000
0.000 5.016 0.000
0.000 0.000 9.494
In Sb Pb
2 2 4
Direct
0.000 0.000 0.000 In
0.500 0.500 0.500 In
0.000 0.000 0.500 Sb
0.500 0.500 0.000 Sb
0.000 0.500 0.250 Pb
0.000 0.500 0.750 Pb
0.500 0.000 0.250 Pb
0.500 0.000 0.750 Pb
```

---

two) comes first in stability; the runner-up is 12 meV/atom higher.

---

one) The following is a PBE calculation of a relaxed structure of InSbPb2, from the Alexandria database.

Output
The density of states at the Fermi level comes out at 0.52 states/eV per atom.

```
InSbPb2
1.0
3.354 0.000 0.000
0.000 5.854 0.000
-0.064 0.000 6.120
In Sb Pb
1 1 2
Direct
0.000 0.000 0.000 In
0.500 0.000 0.500 Sb
0.290 0.500 0.750 Pb
0.710 0.500 0.250 Pb
```

---

two) The following is a PBE calculation of a relaxed structure of InSbPb2, from the Alexandria database.

Output
The density of states at the Fermi level comes out at 0.52 states/eV per atom.

```
InSbPb2
1.0
3.757 0.000 0.000
0.000 5.543 0.000
0.000 0.000 11.315
In Sb Pb
2 2 4
Direct
0.000 0.000 0.000 In
0.500 0.500 0.000 In
0.000 0.000 0.500 Sb
0.500 0.500 0.500 Sb
0.000 0.500 0.253 Pb
0.000 0.500 0.747 Pb
0.500 0.000 0.253 Pb
0.500 0.000 0.747 Pb
```

---

three) The following is a PBE calculation of a relaxed structure of InSbPb2, from the Alexandria database.

Output
The density of states at the Fermi level comes out at 0.76 states/eV per atom.

```
InSbPb2
1.0
7.807 0.000 0.000
0.000 7.807 0.000
0.000 0.000 7.807
In Sb Pb
4 4 8
Direct
0.000 0.000 0.000 In
0.000 0.500 0.500 In
0.500 0.000 0.500 In
0.500 0.500 0.000 In
0.250 0.250 0.750 Sb
0.250 0.750 0.250 Sb
0.750 0.250 0.250 Sb
0.750 0.750 0.750 Sb
0.000 0.000 0.500 Pb
0.000 0.500 0.000 Pb
0.250 0.250 0.250 Pb
0.250 0.750 0.750 Pb
0.500 0.000 0.000 Pb
0.500 0.500 0.500 Pb
0.750 0.250 0.750 Pb
0.750 0.750 0.250 Pb
```

---

one) comes first in stability; the runner-up is 13 meV/atom higher.

---

one) The following is a PBE calculation of a relaxed structure of In2Sb2Pb, from the Alexandria database.

Output
The density of states at the Fermi level comes out at 0.53 states/eV per atom.

```
In2Sb2Pb
1.0
4.479 0.000 0.000
0.000 4.479 0.000
0.000 0.000 15.333
In Sb Pb
4 4 2
Direct
0.000 0.500 0.250 In
0.000 0.500 0.750 In
0.500 0.000 0.250 In
0.500 0.000 0.750 In
0.000 0.000 0.097 Sb
0.000 0.000 0.903 Sb
0.500 0.500 0.403 Sb
0.500 0.500 0.597 Sb
0.000 0.000 0.500 Pb
0.500 0.500 0.000 Pb
```

---

two) The following is a PBE calculation of a relaxed structure of In2Sb2Pb, from the Alexandria database.

Output
The density of states at the Fermi level comes out at 0.52 states/eV per atom.

```
In2Sb2Pb
1.0
8.631 0.000 0.000
0.000 8.631 0.000
0.000 0.000 3.923
In Sb Pb
4 4 2
Direct
0.147 0.353 0.000 In
0.353 0.853 0.000 In
0.647 0.147 0.000 In
0.853 0.647 0.000 In
0.152 0.652 0.500 Sb
0.348 0.152 0.500 Sb
0.652 0.848 0.500 Sb
0.848 0.348 0.500 Sb
0.000 0.000 0.500 Pb
0.500 0.500 0.500 Pb
```

---

three) The following is a PBE calculation of a relaxed structure of In2Sb2Pb, from the Alexandria database.

Output
The density of states at the Fermi level comes out at 0.58 states/eV per atom.

```
In2Sb2Pb
1.0
4.298 0.000 0.000
0.000 4.298 0.000
0.000 0.000 16.814
In Sb Pb
4 4 2
Direct
0.000 0.000 0.099 In
0.000 0.000 0.901 In
0.500 0.500 0.401 In
0.500 0.500 0.599 In
0.000 0.500 0.250 Sb
0.000 0.500 0.750 Sb
0.500 0.000 0.250 Sb
0.500 0.000 0.750 Sb
0.000 0.000 0.500 Pb
0.500 0.500 0.000 Pb
```

---

four) The following is a PBE calculation of a relaxed structure of In2Sb2Pb, from the Alexandria database.

Output
The density of states at the Fermi level comes out at 0.51 states/eV per atom.

```
In2Sb2Pb
1.0
8.510 0.000 0.000
0.000 8.510 0.000
0.000 0.000 3.950
In Sb Pb
4 4 2
Direct
0.133 0.367 0.000 In
0.367 0.867 0.000 In
0.633 0.133 0.000 In
0.867 0.633 0.000 In
0.165 0.665 0.500 Sb
0.335 0.165 0.500 Sb
0.665 0.835 0.500 Sb
0.835 0.335 0.500 Sb
0.000 0.000 0.000 Pb
0.500 0.500 0.000 Pb
```

---

two) comes first in stability; the runner-up is 35 meV/atom higher.

---

one) The following is a PBE calculation of a relaxed structure of InSbPb4, from the Alexandria database.

Output
The density of states at the Fermi level comes out at 0.53 states/eV per atom.

```
InSbPb4
1.0
6.449 0.000 0.000
0.000 6.762 0.000
-2.273 0.000 8.519
In Sb Pb
2 2 8
Direct
0.108 0.250 0.345 In
0.892 0.750 0.655 In
0.249 0.750 0.989 Sb
0.751 0.250 0.011 Sb
0.122 0.750 0.357 Pb
0.243 0.250 0.998 Pb
0.410 0.501 0.686 Pb
0.410 0.999 0.686 Pb
0.590 0.001 0.314 Pb
0.590 0.499 0.314 Pb
0.757 0.750 0.002 Pb
0.878 0.250 0.643 Pb
```

---

two) The following is a PBE calculation of a relaxed structure of InSbPb4, from the Alexandria database.

Output
The density of states at the Fermi level comes out at 0.54 states/eV per atom.

```
InSbPb4
1.0
0.000 4.606 4.606
4.606 0.000 4.606
4.606 4.606 0.000
In Sb Pb
1 1 4
Direct
0.000 0.000 0.000 In
0.250 0.250 0.250 Sb
0.124 0.625 0.625 Pb
0.625 0.124 0.625 Pb
0.625 0.625 0.124 Pb
0.625 0.625 0.625 Pb
```

---

one) comes first in stability; the runner-up is 175 meV/atom higher.

---

one) The following is a PBE calculation of a relaxed structure of InSb2Pb2, from the Alexandria database.

Output
The density of states at the Fermi level comes out at 0.61 states/eV per atom.

```
InSb2Pb2
1.0
8.857 0.000 0.000
0.000 8.857 0.000
0.000 0.000 4.003
In Sb Pb
2 4 4
Direct
0.000 0.000 0.000 In
0.500 0.500 0.000 In
0.151 0.349 0.500 Sb
0.349 0.849 0.500 Sb
0.651 0.151 0.500 Sb
0.849 0.651 0.500 Sb
0.142 0.642 0.000 Pb
0.358 0.142 0.000 Pb
0.642 0.858 0.000 Pb
0.858 0.358 0.000 Pb
```

---

two) The following is a PBE calculation of a relaxed structure of InSb2Pb2, from the Alexandria database.

Output
The density of states at the Fermi level comes out at 0.58 states/eV per atom.

```
InSb2Pb2
1.0
8.699 0.000 0.000
0.000 8.699 0.000
0.000 0.000 4.134
In Sb Pb
2 4 4
Direct
0.000 0.000 0.000 In
0.500 0.500 0.000 In
0.142 0.358 0.000 Sb
0.358 0.858 0.000 Sb
0.642 0.142 0.000 Sb
0.858 0.642 0.000 Sb
0.152 0.652 0.500 Pb
0.348 0.152 0.500 Pb
0.652 0.848 0.500 Pb
0.848 0.348 0.500 Pb
```

---

three) The following is a PBE calculation of a relaxed structure of InSb2Pb2, from the Alexandria database.

Output
The density of states at the Fermi level comes out at 0.65 states/eV per atom.

```
InSb2Pb2
1.0
4.244 0.000 0.000
0.000 4.244 0.000
0.000 0.000 17.821
In Sb Pb
2 4 4
Direct
0.000 0.000 0.000 In
0.500 0.500 0.500 In
0.000 0.500 0.250 Sb
0.000 0.500 0.750 Sb
0.500 0.000 0.250 Sb
0.500 0.000 0.750 Sb
0.000 0.000 0.403 Pb
0.000 0.000 0.597 Pb
0.500 0.500 0.097 Pb
0.500 0.500 0.903 Pb
```

---

two) comes first in stability; the runner-up is 48 meV/atom higher.

---

one) The following is a PBE calculation of a relaxed structure of InSbTe2Pb, from the Alexandria database.

Output
The density of states at the Fermi level comes out at 1.02 states/eV per atom.

```
InSbTe2Pb
1.0
5.938 0.000 0.000
0.000 5.938 0.000
0.000 0.000 5.829
In Sb Te Pb
1 1 2 1
Direct
0.000 0.000 0.000 In
0.500 0.500 0.000 Sb
0.000 0.500 0.500 Te
0.500 0.000 0.500 Te
0.500 0.500 0.500 Pb
```

---

two) The following is a PBE calculation of a relaxed structure of InSbTe2Pb, from the Alexandria database.

Output
The density of states at the Fermi level comes out at 1.05 states/eV per atom.

```
InSbTe2Pb
1.0
5.693 0.000 0.000
0.000 5.693 0.000
0.000 0.000 5.589
In Sb Te Pb
1 1 2 1
Direct
0.000 0.000 0.000 In
0.000 0.000 0.500 Sb
0.000 0.500 0.000 Te
0.500 0.000 0.000 Te
0.500 0.500 0.500 Pb
```

---

two) comes first in stability; the runner-up is 122 meV/atom higher.

---

one) The following is a PBE calculation of a relaxed structure of ScInPb, from the Alexandria database.

Output
The density of states at the Fermi level comes out at 0.74 states/eV per atom.

```
ScInPb
1.0
4.334 0.000 0.000
0.000 15.846 0.000
0.000 0.000 4.326
Sc In Pb
4 4 4
Direct
0.000 0.090 0.250 Sc
0.000 0.910 0.750 Sc
0.500 0.410 0.750 Sc
0.500 0.590 0.250 Sc
0.000 0.252 0.750 In
0.000 0.748 0.250 In
0.500 0.248 0.250 In
0.500 0.752 0.750 In
0.000 0.424 0.250 Pb
0.000 0.576 0.750 Pb
0.500 0.076 0.750 Pb
0.500 0.924 0.250 Pb
```

---

two) The following is a PBE calculation of a relaxed structure of ScInPb, from the Alexandria database.

Output
The density of states at the Fermi level comes out at 1.11 states/eV per atom.

```
ScInPb
1.0
3.605 0.000 0.000
0.000 3.605 0.000
0.000 0.000 11.826
Sc In Pb
2 2 2
Direct
0.000 0.000 0.000 Sc
0.500 0.500 0.500 Sc
0.000 0.000 0.647 In
0.500 0.500 0.147 In
0.000 0.000 0.331 Pb
0.500 0.500 0.831 Pb
```

---

three) The following is a PBE calculation of a relaxed structure of ScInPb, from the Alexandria database.

Output
The density of states at the Fermi level comes out at 1.00 states/eV per atom.

```
ScInPb
1.0
7.111 0.000 0.000
0.000 7.111 0.000
0.000 0.000 7.111
Sc In Pb
4 4 4
Direct
0.000 0.000 0.000 Sc
0.000 0.500 0.500 Sc
0.500 0.000 0.500 Sc
0.500 0.500 0.000 Sc
0.000 0.000 0.500 In
0.000 0.500 0.000 In
0.500 0.000 0.000 In
0.500 0.500 0.500 In
0.250 0.250 0.250 Pb
0.250 0.750 0.750 Pb
0.750 0.250 0.750 Pb
0.750 0.750 0.250 Pb
```

---

four) The following is a PBE calculation of a relaxed structure of ScInPb, from the Alexandria database.

Output
The density of states at the Fermi level comes out at 0.77 states/eV per atom.

```
ScInPb
1.0
4.294 0.000 0.000
0.000 4.294 0.000
0.000 0.000 8.258
Sc In Pb
2 2 2
Direct
0.250 0.250 0.194 Sc
0.750 0.750 0.806 Sc
0.250 0.750 0.500 In
0.750 0.250 0.500 In
0.250 0.250 0.828 Pb
0.750 0.750 0.172 Pb
```

---

one) comes first in stability; the runner-up is 103 meV/atom higher.